A plane-wave DFT calculation with PBE was carried out for a relaxed structure of In6AgBi.

Results
density of states at the Fermi level = 0.442 states/eV/atom
formation energy from the elements = 47 meV per atom

Cell: 4.8889 4.8889 8.8744 Å, 90.00 90.00 90.00°
Positions (direct):
In 0.0000 0.0000 0.0000
In 0.0000 0.0000 0.5000
In 0.0000 0.5000 0.2312
In 0.0000 0.5000 0.7688
In 0.5000 0.0000 0.2312
In 0.5000 0.0000 0.7688
Ag 0.5000 0.5000 0.0000
Bi 0.5000 0.5000 0.5000